# ReSbBr2

An optimized crystal structure of ReSbBr2 (GGA-PBE, the Alexandria database).

a b c (Å): 7.947 7.947 4.714
angles (deg): 72.73 72.73 23.08
Fractional positions:
1 Sb 0.250 0.250 0.250
2 Br 0.395 0.395 0.604
3 Re 0.750 0.750 0.750
4 Br 0.105 0.105 0.896

Calculated values
- Offset from the most stable computed form: 134 meV per atom
- Formation energy from raw total energies: 1.49 eV/f.u.
- Final energy: -18.42 eV for the cell shown

# LaPaBi2

An optimized crystal structure of LaPaBi2 (GGA-PBE, the Alexandria database).

a b c (Å): 5.560 5.560 5.560
angles (deg): 60.00 60.00 60.00
Fractional positions:
1 Pa 0.000 0.000 0.000
2 La 0.500 0.500 0.500
3 Bi 0.250 0.250 0.250
4 Bi 0.750 0.750 0.750

Calculated values
- Offset from the most stable computed form: 122 meV per atom
- Calculated formation energy: -0.416 eV/atom
- Final energy: -23.85 eV for the cell shown

# TbPr2YEr

An optimized crystal structure of TbPr2YEr (GGA-PBE, the Alexandria database).

a b c (Å): 7.308 8.400 7.187
angles (deg): 125.76 90.00 90.00
Fractional positions:
1 Y 0.250 0.253 0.507
2 Er 0.250 0.709 0.418
3 Er 0.750 0.291 0.582
4 Pr 0.000 0.305 0.000
5 Y 0.750 0.747 0.493
6 Pr 0.500 0.695 0.000
7 Pr 0.500 0.305 0.000
8 Tb 0.750 0.031 0.062
9 Tb 0.250 0.969 0.938
10 Pr 0.000 0.695 0.000

Calculated values
- Calculated formation energy: 0.420 eV/atom
- Final energy: -46.24 eV for the cell shown

# Ho2Zn3Au2

An optimized crystal structure of Ho2Zn3Au2 (GGA-PBE, the Alexandria database).

a b c (Å): 3.794 7.692 9.811
angles (deg): 90.00 101.15 90.00
Fractional positions:
1 Ho 0.932 0.250 0.864
2 Ho 0.846 0.750 0.692
3 Au 0.321 0.450 0.642
4 Au 0.679 0.550 0.358
5 Zn 0.448 0.913 0.896
6 Au 0.321 0.050 0.642
7 Ho 0.068 0.750 0.136
8 Zn 0.552 0.413 0.104
9 Ho 0.154 0.250 0.308
10 Au 0.679 0.950 0.358
11 Zn 0.768 0.250 0.536
12 Zn 0.232 0.750 0.464
13 Zn 0.448 0.587 0.896
14 Zn 0.552 0.087 0.104

Calculated values
- Offset from the most stable computed form: 64 meV per atom
- Calculated formation energy: -0.513 eV/atom
- Final energy: -46.25 eV for the cell shown

# KCaGe4

An optimized crystal structure of KCaGe4 (GGA-PBE, the Alexandria database).

a b c (Å): 5.808 5.808 5.808
angles (deg): 60.00 60.00 60.00
Fractional positions:
1 Ca 0.000 0.000 0.000
2 Ge 0.120 0.627 0.627
3 Ge 0.627 0.120 0.627
4 K 0.250 0.250 0.250
5 Ge 0.627 0.627 0.120
6 Ge 0.627 0.627 0.627

Calculated values
- Calculated formation energy: -0.128 eV/atom
- Final energy: -22.34 eV for the cell shown

# CaYTeN2

An optimized crystal structure of CaYTeN2 (GGA-PBE, the Alexandria database).

a b c (Å): 4.520 4.520 6.188
angles (deg): 90.00 90.00 90.00
Fractional positions:
1 Ca 0.500 0.500 0.500
2 Y 0.000 0.000 0.000
3 N 0.000 0.500 0.000
4 N 0.500 0.000 0.000
5 Te 0.000 0.000 0.500

Calculated values
- Offset from the most stable computed form: 0 meV per atom
- Formation energy from raw total energies: -0.01 eV/f.u.
- Final energy: -28.27 eV for the cell shown

# TaFeMo2

An optimized crystal structure of TaFeMo2 (GGA-PBE, the Alexandria database).

a b c (Å): 4.475 2.717 5.157
angles (deg): 80.09 90.00 90.00
Fractional positions:
1 Ta 0.500 0.250 0.250
2 Mo 0.000 0.505 0.504
3 Fe 0.500 0.750 0.750
4 Mo 0.000 0.995 0.996

Calculated values
- Offset from the most stable computed form: 95 meV per atom
- Calculated formation energy: 0.066 eV/atom
- Final energy: -41.71 eV for the cell shown

# Mg7In4Sn

An optimized crystal structure of Mg7In4Sn (GGA-PBE, the Alexandria database).

a b c (Å): 3.355 3.355 29.442
angles (deg): 90.00 90.00 120.00
Fractional positions:
1 Sn 0.000 0.000 0.500
2 In 0.667 0.333 0.083
3 Mg 0.000 0.000 0.748
4 In 0.667 0.333 0.336
5 Mg 0.333 0.667 0.168
6 In 0.333 0.667 0.664
7 In 0.333 0.667 0.917
8 Mg 0.333 0.667 0.420
9 Mg 0.667 0.333 0.832
10 Mg 0.667 0.333 0.580
11 Mg 0.000 0.000 0.252
12 Mg 0.000 0.000 0.000

Calculated values
- Offset from the most stable computed form: 0 meV per atom
- Calculated formation energy: -0.059 eV/atom
- Final energy: -26.83 eV for the cell shown

# Y5Sb2H

An optimized crystal structure of Y5Sb2H (GGA-PBE, the Alexandria database).

a b c (Å): 6.938 6.938 6.578
angles (deg): 121.86 121.86 89.95
Fractional positions:
1 Y 0.752 0.251 0.003
2 Sb 0.751 0.251 0.503
3 Y 0.251 0.251 0.003
4 Sb 0.251 0.751 0.503
5 Y 0.251 0.752 0.003
6 Y 0.751 0.751 0.003
7 Y 0.756 0.756 0.512
8 H 0.013 0.013 0.025

Calculated values
- Final energy: -47.98 eV for the cell shown

# Na2Pb3S4

An optimized crystal structure of Na2Pb3S4 (GGA-PBE, the Alexandria database).

a b c (Å): 4.272 7.410 8.851
angles (deg): 82.76 76.03 73.25
Fractional positions:
1 Na 0.366 0.903 0.365
2 Pb 0.000 0.000 0.000
3 S 0.765 0.157 0.313
4 Pb 0.808 0.588 0.796
5 S 0.401 0.288 0.910
6 S 0.599 0.712 0.090
7 S 0.235 0.843 0.687
8 Na 0.634 0.097 0.635
9 Pb 0.192 0.412 0.204

Calculated values
- Formation energy from raw total energies: -6.29 eV/f.u.
- Final energy: -36.56 eV for the cell shown

# MgTlBrF2

An optimized crystal structure of MgTlBrF2 (GGA-PBE, the Alexandria database).

a b c (Å): 4.283 4.283 5.453
angles (deg): 90.00 90.00 90.00
Fractional positions:
1 Br 0.000 0.000 0.500
2 Mg 0.000 0.000 0.000
3 Tl 0.500 0.500 0.500
4 F 0.500 0.000 0.000
5 F 0.000 0.500 0.000

Calculated values
- Offset from the most stable computed form: 6 meV per atom
- Formation energy from raw total energies: -10.77 eV/f.u.
- Final energy: -20.15 eV for the cell shown

# ReTc4W

An optimized crystal structure of ReTc4W (GGA-PBE, the Alexandria database).

a b c (Å): 5.061 5.061 5.061
angles (deg): 60.00 60.00 60.00
Fractional positions:
1 Tc 0.875 0.375 0.375
2 Tc 0.375 0.875 0.375
3 Re 0.000 0.000 0.000
4 W 0.750 0.750 0.750
5 Tc 0.375 0.375 0.375
6 Tc 0.375 0.375 0.875

Calculated values
- Calculated formation energy: 0.245 eV/atom
- Final energy: -65.40 eV for the cell shown

# SrPaSbO5

An optimized crystal structure of SrPaSbO5 (GGA-PBE, the Alexandria database).

a b c (Å): 6.347 6.347 8.777
angles (deg): 109.87 109.87 98.35
Fractional positions:
1 Pa 0.000 0.000 0.500
2 O 0.031 0.969 0.250
3 Pa 0.000 0.000 0.000
4 O 0.969 0.031 0.750
5 O 0.735 0.648 0.362
6 O 0.710 0.146 0.457
7 O 0.352 0.265 0.138
8 O 0.290 0.854 0.543
9 Sr 0.685 0.315 0.750
10 O 0.854 0.290 0.043
11 Sb 0.305 0.695 0.750
12 Sb 0.695 0.305 0.250
13 O 0.648 0.735 0.862
14 Sr 0.315 0.685 0.250
15 O 0.146 0.710 0.957
16 O 0.265 0.352 0.638

Calculated values
- Formation energy from raw total energies: -21.56 eV/f.u.
- Final energy: -123.30 eV for the cell shown

# Tb2NdTm3

An optimized crystal structure of Tb2NdTm3 (GGA-PBE, the Alexandria database).

a b c (Å): 6.125 7.095 9.382
angles (deg): 112.22 89.72 90.00
Fractional positions:
1 Tm 0.584 0.043 0.336
2 Tb 0.918 0.208 0.665
3 Tm 0.750 0.624 0.000
4 Tm 0.250 0.376 0.000
5 Tb 0.418 0.458 0.665
6 Tb 0.082 0.792 0.335
7 Tm 0.084 0.293 0.336
8 Tb 0.582 0.542 0.335
9 Nd 0.250 0.874 0.000
10 Nd 0.750 0.126 0.000
11 Tm 0.916 0.707 0.664
12 Tm 0.416 0.957 0.664

Calculated values
- Offset from the most stable computed form: 4 meV per atom
- Calculated formation energy: 0.023 eV/atom
- Final energy: -54.61 eV for the cell shown

# Tl3TcBr6

An optimized crystal structure of Tl3TcBr6 (GGA-PBE, the Alexandria database).

a b c (Å): 7.419 7.419 8.328
angles (deg): 110.86 110.86 101.58
Fractional positions:
1 Br 0.323 0.323 0.262
2 Br 0.777 0.223 0.000
3 Tl 0.500 0.500 0.000
4 Tc 0.000 0.000 0.000
5 Br 0.223 0.777 0.000
6 Tl 0.250 0.750 0.500
7 Br 0.677 0.677 0.738
8 Br 0.939 0.939 0.262
9 Tl 0.750 0.250 0.500
10 Br 0.061 0.061 0.738

Calculated values
- Offset from the most stable computed form: 53 meV per atom
- Formation energy from raw total energies: -5.65 eV/f.u.
- Final energy: -33.15 eV for the cell shown

# AcSmInCu

An optimized crystal structure of AcSmInCu (GGA-PBE, the Alexandria database).

a b c (Å): 5.465 5.465 5.465
angles (deg): 60.00 60.00 60.00
Fractional positions:
1 Sm 0.500 0.500 0.500
2 Cu 0.250 0.250 0.250
3 Ac 0.000 0.000 0.000
4 In 0.750 0.750 0.750

Calculated values
- Calculated formation energy: -0.208 eV/atom
- Final energy: -16.49 eV for the cell shown

# Sn3SbTe6

An optimized crystal structure of Sn3SbTe6 (GGA-PBE, the Alexandria database).

a b c (Å): 4.276 15.459 10.674
angles (deg): 92.29 90.00 90.00
Fractional positions:
1 Te 0.250 0.272 0.322
2 Te 0.750 0.451 0.161
3 Sn 0.750 0.239 0.130
4 Sn 0.250 0.270 0.617
5 Sn 0.750 0.417 0.882
6 Te 0.250 0.883 0.427
7 Te 0.250 0.549 0.839
8 Te 0.250 0.596 0.395
9 Sb 0.250 0.078 0.356
10 Te 0.750 0.404 0.605
11 Te 0.750 0.731 0.095
12 Te 0.250 0.952 0.840
13 Sn 0.250 0.583 0.118
14 Te 0.250 0.269 0.905
15 Te 0.750 0.117 0.573
16 Sn 0.750 0.730 0.383
17 Sn 0.250 0.761 0.870
18 Te 0.750 0.048 0.160
19 Sb 0.750 0.922 0.644
20 Te 0.750 0.728 0.678

Calculated values
- Formation energy from raw total energies: -1.59 eV/f.u.
- Final energy: -73.15 eV for the cell shown

# CsBTeN2

An optimized crystal structure of CsBTeN2 (GGA-PBE, the Alexandria database).

a b c (Å): 4.353 4.353 7.953
angles (deg): 90.00 90.00 90.00
Fractional positions:
1 Cs 0.000 0.000 0.000
2 N 0.000 0.500 0.000
3 Te 0.000 0.000 0.500
4 B 0.500 0.500 0.500
5 N 0.500 0.000 0.000

Calculated values
- Offset from the most stable computed form: 1008 meV per atom
- Formation energy from raw total energies: 15.02 eV/f.u.
- Final energy: -12.30 eV for the cell shown

# Ba5NaHg

An optimized crystal structure of Ba5NaHg (GGA-PBE, the Alexandria database).

a b c (Å): 8.311 8.311 14.013
angles (deg): 72.24 72.24 61.33
Fractional positions:
1 Ba 0.956 0.607 0.138
2 Ba 0.213 0.535 0.534
3 Ba 0.607 0.956 0.638
4 Hg 0.000 0.000 0.000
5 Hg 0.000 0.000 0.500
6 Ba 0.035 0.965 0.750
7 Ba 0.535 0.213 0.034
8 Ba 0.965 0.035 0.250
9 Ba 0.393 0.044 0.362
10 Ba 0.787 0.465 0.466
11 Na 0.463 0.537 0.250
12 Na 0.537 0.463 0.750
13 Ba 0.044 0.393 0.862
14 Ba 0.465 0.787 0.966

Calculated values
- Calculated formation energy: -0.065 eV/atom
- Final energy: -23.38 eV for the cell shown

# MnNb3Se6

An optimized crystal structure of MnNb3Se6 (GGA-PBE, the Alexandria database).

a b c (Å): 6.093 6.093 13.047
angles (deg): 90.00 90.00 120.00
Fractional positions:
1 Se 0.993 0.666 0.372
2 Nb 0.000 0.000 0.000
3 Nb 0.667 0.333 0.998
4 Se 0.673 0.007 0.372
5 Se 0.666 0.673 0.872
6 Se 0.334 0.327 0.372
7 Nb 0.667 0.333 0.502
8 Se 0.327 0.993 0.872
9 Nb 0.333 0.667 0.002
10 Mn 0.667 0.333 0.750
11 Se 0.007 0.673 0.628
12 Se 0.666 0.993 0.628
13 Se 0.007 0.334 0.872
14 Se 0.993 0.327 0.128
15 Se 0.673 0.666 0.128
16 Se 0.327 0.334 0.628
17 Nb 0.000 0.000 0.500
18 Se 0.334 0.007 0.128
19 Mn 0.333 0.667 0.250
20 Nb 0.333 0.667 0.498

Calculated values
- Offset from the most stable computed form: 0 meV per atom
- Formation energy from raw total energies: -8.44 eV/f.u.
- Final energy: -137.45 eV for the cell shown